(1)
Entry from the Alexandria database: La2TbSe2O2 after structural relaxation (PBE).

The calculated total energy is -6.98 eV/atom.

The space group is I4/mmm (No. 139) and the conventional cell measures 4.388, 4.388 and 15.789 Å, with angles of 90.00, 90.00 and 90.00 degrees. Symmetry generates all atoms from La at (0.000, 0.000, 0.127), Tb at (0.000, 0.000, 0.500), Se at (0.000, 0.000, 0.320) and O at (0.000, 0.500, 0.000).

(2)
Entry from the Alexandria database: Nd2Zn3Ga after structural relaxation (PBE).

As for the formation energy: -0.400 eV/atom. The excess energy over the best structure of this formula in the dataset is 3.5 kJ/mol of atoms.

The space group is Imm2 (No. 44) and the conventional cell measures 4.203, 4.264 and 15.283 Å, with angles of 90.00, 90.00 and 90.00 degrees. Symmetry generates all atoms from Nd at (0.000, 0.000, 0.000), Nd at (0.000, 0.500, 0.245), Zn at (0.000, 0.000, 0.415), Zn at (0.000, 0.500, 0.664), Zn at (0.000, 0.500, 0.829) and Ga at (0.000, 0.000, 0.580).

(3)
Entry from the Alexandria database: TiTe3P after structural relaxation (PBE).

The excess energy over the best structure of this formula in the dataset is 0.0 kJ/mol of atoms.

The space group is Pm-3m (No. 221) and the conventional cell measures 5.313, 5.313 and 5.313 Å, with angles of 90.00, 90.00 and 90.00 degrees. Symmetry generates all atoms from Ti at (0.000, 0.000, 0.000), Te at (0.000, 0.000, 0.500) and P at (0.500, 0.500, 0.500).

(4)
Entry from the Alexandria database: Nd5Tm6Tl after structural relaxation (PBE).

As for the formation energy: -0.029 eV/atom.

The space group is C2/m (No. 12) and the conventional cell measures 11.695, 10.565 and 6.163 Å, with angles of 90.00, 99.42 and 90.00 degrees. Symmetry generates all atoms from Nd at (0.000, 0.000, 0.000), Nd at (0.000, 0.168, 0.500), Nd at (0.000, 0.340, 0.000), Tm at (0.248, 0.337, 0.757), Tm at (0.249, 0.500, 0.263) and Tl at (0.000, 0.500, 0.500).

(5)
Entry from the Alexandria database: Tb2PuCu after structural relaxation (PBE).

As for the formation energy: 0.268 eV/atom. The excess energy over the best structure of this formula in the dataset is 26.4 kJ/mol of atoms.

The space group is Fm-3m (No. 225) and the conventional cell measures 7.373, 7.373 and 7.373 Å, with angles of 90.00, 90.00 and 90.00 degrees. Symmetry generates all atoms from Tb at (0.250, 0.250, 0.250), Pu at (0.000, 0.000, 0.000) and Cu at (0.000, 0.000, 0.500).

(6)
Entry from the Alexandria database: HfNbAg2Pb after structural relaxation (PBE).

As for the formation energy: 1.488 eV/atom.

The space group is P4/mmm (No. 123) and the conventional cell measures 5.056, 5.056 and 5.482 Å, with angles of 90.00, 90.00 and 90.00 degrees. Symmetry generates all atoms from Hf at (0.000, 0.000, 0.000), Nb at (0.500, 0.500, 0.000), Ag at (0.000, 0.500, 0.500) and Pb at (0.000, 0.000, 0.500).